# FeAgHg2

A geometry-optimized FeAgHg2 structure (PBE, Alexandria via LeMat-Bulk).

abc: 4.937 4.937 3.069
angles: 90.00 90.00 97.50
Each line ends with the local moment (μB).
Atoms (fractional coordinates):
Fe 0.000 0.500 0.500  2.84
Hg 0.000 0.000 0.000  -0.04
Ag 0.500 0.000 0.500  -0.01
Hg 0.500 0.500 0.000  -0.04

**Size of the total moment**: 2.713 μB per formula unit
**Energy relative to the elements**: 0.351 eV per atom
**Polymorph energy (0 for the lowest one)**: 0.211 eV per formula unit